The following is a PBE-GGA calculation of an optimized crystal structure of Tb2Dy3Cu3, from Alexandria via LeMat-Bulk.

Cell: 3.550 5.092 10.890 Å, 103.52 99.38 90.00°
Sites, in units of the cell vectors:
Dy 0.616 0.616 0.231
Tb 0.726 0.226 0.452
Dy 0.500 0.000 0.000
Cu 0.000 0.500 0.000
Tb 0.274 0.774 0.548
Dy 0.384 0.384 0.769
Cu 0.114 0.114 0.228
Cu 0.886 0.886 0.772

Computed properties:
For the volume, the calculation gives 23.58 Å³/atom. Its space group is Immm, No. 71. As for the density of states at the Fermi level: 7.06 states/eV/cell. The value obtained for the calculated density is 8.77 g cm⁻³. Its calculated formation energy is -111 kJ/mol of formula units.

=====

The following is a PBE-GGA calculation of an optimized crystal structure of Tb3Dy2Cu3, from Alexandria via LeMat-Bulk.

Cell: 3.551 5.113 10.899 Å, 103.57 99.37 90.00°
Sites, in units of the cell vectors:
Tb 0.500 0.000 0.000
Cu 0.885 0.885 0.769
Tb 0.616 0.616 0.233
Tb 0.384 0.384 0.767
Cu 0.000 0.500 0.000
Dy 0.726 0.226 0.453
Dy 0.274 0.774 0.547
Cu 0.115 0.115 0.231

Computed properties:
For the volume, the calculation gives 23.70 Å³/atom. Its space group is Immm, No. 71. As for the density of states at the Fermi level: 7.03 states/eV/cell. The value obtained for the calculated density is 8.69 g cm⁻³. Its calculated formation energy is -111 kJ/mol of formula units.

=====

The following is a PBE-GGA calculation of an optimized crystal structure of TbDy2Cu9, from Alexandria via LeMat-Bulk.

Cell: 5.157 5.157 8.838 Å, 73.04 73.04 60.00°
Sites, in units of the cell vectors:
Cu 0.418 0.418 0.246
Dy 0.141 0.141 0.576
Cu 0.332 0.332 0.003
Dy 0.859 0.859 0.424
Cu 0.918 0.418 0.246
Cu 0.500 0.500 0.500
Tb 0.000 0.000 0.000
Cu 0.082 0.582 0.754
Cu 0.668 0.668 0.997
Cu 0.582 0.582 0.754
Cu 0.418 0.918 0.246
Cu 0.582 0.082 0.754

Computed properties:
For the volume, the calculation gives 15.97 Å³/atom. Its space group is R-3m, No. 166. As for the density of states at the Fermi level: 8.08 states/eV/cell. The value obtained for the calculated density is 9.15 g cm⁻³. Its calculated formation energy is -233 kJ/mol of formula units.

=====

The following is a PBE-GGA calculation of an optimized crystal structure of Tb2Dy2Cu3, from Alexandria via LeMat-Bulk.

Cell: 7.536 7.536 7.536 Å, 109.47 109.47 109.47°
Sites, in units of the cell vectors:
Dy 0.000 0.000 0.869
Tb 0.869 0.500 0.000
Cu 0.623 0.750 0.873
Dy 0.369 0.500 0.000
Tb 0.631 0.131 0.131
Tb 0.500 0.369 0.500
Dy 0.500 0.869 0.500
Cu 0.877 0.250 0.627
Cu 0.750 0.627 0.377
Dy 0.131 0.631 0.631
Cu 0.373 0.123 0.750
Tb 0.000 0.000 0.369
Cu 0.250 0.873 0.123
Cu 0.127 0.377 0.250

Computed properties:
For the volume, the calculation gives 23.54 Å³/atom. Its space group is I2_13, No. 199. As for the density of states at the Fermi level: 16.13 states/eV/cell. The value obtained for the calculated density is 8.40 g cm⁻³. Its calculated formation energy is -57 kJ/mol of formula units.

=====

The following is a PBE-GGA calculation of an optimized crystal structure of TbDy3Cu2, from Alexandria via LeMat-Bulk.

Cell: 6.797 7.165 8.331 Å, 115.47 114.07 90.00°
Sites, in units of the cell vectors:
Dy 0.765 0.015 0.531
Dy 0.235 0.985 0.469
Cu 0.850 0.142 0.283
Dy 0.235 0.485 0.469
Tb 0.000 0.500 0.000
Dy 0.500 0.250 0.000
Tb 0.000 0.000 0.000
Dy 0.500 0.750 0.000
Cu 0.150 0.858 0.717
Cu 0.434 0.642 0.283
Dy 0.765 0.515 0.531
Cu 0.566 0.358 0.717

Computed properties:
The calculation puts the offset from the most stable computed form at 0.1736 eV/atom. For the volume, the calculation gives 27.23 Å³/atom. Its space group is Ibam, No. 72. As for the density of states at the Fermi level: 14.73 states/eV/cell. The value obtained for the calculated density is 7.86 g cm⁻³. Its calculated formation energy is 11 kJ/mol of formula units.

=====

The following is a PBE-GGA calculation of an optimized crystal structure of Tb4Dy3Cu4, from Alexandria via LeMat-Bulk.

Cell: 4.836 7.325 8.740 Å, 114.78 106.06 90.00°
Sites, in units of the cell vectors:
Tb 0.328 0.548 0.656
Tb 0.672 0.452 0.344
Dy 0.897 0.897 0.794
Cu 0.500 0.167 0.000
Dy 0.000 0.500 0.000
Tb 0.672 0.892 0.344
Dy 0.103 0.103 0.206
Cu 0.500 0.833 0.000
Cu 0.800 0.300 0.599
Tb 0.328 0.108 0.656
Cu 0.200 0.700 0.401

Computed properties:
For the volume, the calculation gives 24.34 Å³/atom. Its space group is Immm, No. 71. As for the density of states at the Fermi level: 9.69 states/eV/cell. The value obtained for the calculated density is 8.54 g cm⁻³. Its calculated formation energy is -78 kJ/mol of formula units.

=====

The following is a PBE-GGA calculation of an optimized crystal structure of TbDyCu2, from Alexandria via LeMat-Bulk.

Cell: 3.472 3.472 6.952 Å, 90.00 90.00 90.00°
Sites, in units of the cell vectors:
Dy 0.500 0.500 0.000
Tb 0.500 0.500 0.500
Cu 0.000 0.000 0.752
Cu 0.000 0.000 0.248

Computed properties:
The calculation puts the offset from the most stable computed form at 0.0060 eV/atom. For the volume, the calculation gives 20.95 Å³/atom. Its space group is P4/mmm, No. 123. As for the density of states at the Fermi level: 2.35 states/eV/cell. The value obtained for the calculated density is 8.89 g cm⁻³. Its calculated formation energy is -95 kJ/mol of formula units.

=====

The following is a PBE-GGA calculation of an optimized crystal structure of Tb3Dy4Cu4, from Alexandria via LeMat-Bulk.

Cell: 4.827 7.333 8.729 Å, 114.84 106.05 90.00°
Sites, in units of the cell vectors:
Tb 0.897 0.897 0.793
Tb 0.000 0.500 0.000
Cu 0.201 0.701 0.403
Dy 0.672 0.892 0.344
Cu 0.799 0.299 0.597
Tb 0.103 0.103 0.207
Cu 0.500 0.168 0.000
Dy 0.328 0.548 0.656
Cu 0.500 0.832 0.000
Dy 0.328 0.108 0.656
Dy 0.672 0.452 0.344

Computed properties:
For the volume, the calculation gives 24.28 Å³/atom. Its space group is Immm, No. 71. As for the density of states at the Fermi level: 9.50 states/eV/cell. The value obtained for the calculated density is 8.59 g cm⁻³. Its calculated formation energy is -87 kJ/mol of formula units.

=====

The following is a PBE-GGA calculation of an optimized crystal structure of TbDy2Cu, from Alexandria via LeMat-Bulk.

Cell: 6.483 6.823 9.732 Å, 90.00 90.00 90.00°
Sites, in units of the cell vectors:
Dy 0.316 0.190 0.059
Dy 0.816 0.310 0.559
Cu 0.054 0.403 0.250
Tb 0.367 0.482 0.750
Cu 0.446 0.903 0.250
Dy 0.684 0.810 0.559
Dy 0.316 0.190 0.441
Tb 0.867 0.018 0.250
Tb 0.133 0.982 0.750
Tb 0.633 0.518 0.250
Dy 0.816 0.310 0.941
Dy 0.684 0.810 0.941
Dy 0.184 0.690 0.441
Dy 0.184 0.690 0.059
Cu 0.946 0.597 0.750
Cu 0.554 0.097 0.750

Computed properties:
The calculation puts the offset from the most stable computed form at 0.0000 eV/atom. For the volume, the calculation gives 26.91 Å³/atom. Its space group is Pnma, No. 62. As for the density of states at the Fermi level: 19.33 states/eV/cell. The value obtained for the calculated density is 8.45 g cm⁻³. Its calculated formation energy is -40 kJ/mol of formula units.

=====

The following is a PBE-GGA calculation of an optimized crystal structure of Tb2DyCu9, from Alexandria via LeMat-Bulk.

Cell: 5.154 5.154 8.860 Å, 73.09 73.09 60.00°
Sites, in units of the cell vectors:
Cu 0.082 0.581 0.755
Cu 0.419 0.419 0.245
Tb 0.859 0.859 0.423
Cu 0.918 0.419 0.245
Cu 0.581 0.082 0.755
Cu 0.581 0.581 0.755
Tb 0.141 0.141 0.577
Cu 0.500 0.500 0.500
Cu 0.419 0.918 0.245
Cu 0.332 0.332 0.003
Cu 0.668 0.668 0.997
Dy 0.000 0.000 0.000

Computed properties:
For the volume, the calculation gives 16.00 Å³/atom. Its space group is R-3m, No. 166. As for the density of states at the Fermi level: 7.65 states/eV/cell. The value obtained for the calculated density is 9.10 g cm⁻³. Its calculated formation energy is -227 kJ/mol of formula units.

=====

The following is a PBE-GGA calculation of an optimized crystal structure of Tb4DyCu4, from Alexandria via LeMat-Bulk.

Cell: 6.003 8.555 8.555 Å, 90.00 90.00 90.00°
Sites, in units of the cell vectors:
Cu 0.630 0.228 0.628
Cu 0.630 0.772 0.372
Tb 0.599 0.913 0.698
Tb 0.599 0.087 0.302
Cu 0.370 0.372 0.228
Tb 0.401 0.302 0.913
Tb 0.099 0.802 0.413
Cu 0.870 0.728 0.128
Cu 0.370 0.628 0.772
Tb 0.901 0.587 0.802
Cu 0.870 0.272 0.872
Dy 0.500 0.500 0.500
Dy 0.000 0.000 0.000
Cu 0.130 0.872 0.728
Tb 0.401 0.698 0.087
Tb 0.901 0.413 0.198
Cu 0.130 0.128 0.272
Tb 0.099 0.198 0.587

Computed properties:
For the volume, the calculation gives 24.41 Å³/atom. Its space group is P4_2/n, No. 86. As for the density of states at the Fermi level: 22.47 states/eV/cell. The value obtained for the calculated density is 7.96 g cm⁻³. Its calculated formation energy is -29 kJ/mol of formula units.

=====

Question: Which of these has the highest volume?
Answer: TbDy3Cu2